(1)
## Ac3Si2Hg3 (PBE)

Data for a relaxed structure of Ac3Si2Hg3.

Lattice parameters (Å, degrees): 4.4764 12.2186 17.1063 90.00 90.00 90.00
Closest atoms and distances in Å follow each position.
Space group Cmcm (No. 63)
One atom of each set of equivalent atoms:
Ac  0.0000  0.0797  0.2500 x4  4 Si 3.28, 5 Hg 3.30-3.59
Ac  0.0000  0.3609  0.0933 x8  7 Hg 3.37-3.67, 4 Si 3.39-3.67
Si  0.0000  0.3435  0.6212 x8  3 Hg 2.66-2.89
Hg  0.0000  0.0916  0.0506 x8  2 Si 2.66, 1 Hg 2.83
Hg  0.0000  0.1905  0.7500 x4  2 Si 2.89

Formation energy (no corrections), eV/f.u.: -3.605
N(E_F), states/eV/atom: 0.573



(2)
## Ac4SiHg (PBE)

Data for a relaxed structure of Ac4SiHg.

Lattice parameters (Å, degrees): 5.4304 5.4304 7.7312 90.00 90.00 90.00
Closest atoms and distances in Å follow each position.
Space group P4/mmm (No. 123)
One atom of each set of equivalent atoms:
Ac  0.0000  0.5000  0.2384 x4  2 Si 3.28, 2 Hg 3.39
Si  0.0000  0.0000  0.0000 x1  8 Ac 3.28
Hg  0.5000  0.5000  0.5000 x1  8 Ac 3.39

Formation energy (no corrections), eV/f.u.: -1.250
N(E_F), states/eV/atom: 1.294



(3)
## Ac3Si4Hg (PBE)

Data for a relaxed structure of Ac3Si4Hg.

Lattice parameters (Å, degrees): 20.9975 4.3951 4.7110 90.00 90.02 90.00
Closest atoms and distances in Å follow each position.
Space group C2/m (No. 12)
One atom of each set of equivalent atoms:
Ac  0.0000  0.0000  0.0000 x2  4 Hg 3.22, 4 Si 3.24
Ac  0.1626  0.0000  0.4994 x4  10 Si 3.34-3.47
Si  0.1131  0.5000  0.9991 x4  1 Si 2.33
Si  0.2241  0.5000  0.9988 x4  3 Si 2.33-2.45
Hg  0.0000  0.5000  0.5000 x2  4 Ac 3.22, 4 Si 3.34-3.35

Formation energy (no corrections), eV/f.u.: -3.775
N(E_F), states/eV/atom: 0.562



(4)
## Ac12Si6Hg (PBE)

Data for a relaxed structure of Ac12Si6Hg.

Lattice parameters (Å, degrees): 10.9716 10.9716 10.9716 90.00 90.00 90.00
Closest atoms and distances in Å follow each position.
Space group Im-3 (No. 204)
One atom of each set of equivalent atoms:
Ac  0.0000  0.1880  0.3001 x24  3 Si 3.12-3.24
Si  0.0000  0.3907  0.5000 x12  1 Si 2.40
Hg  0.0000  0.0000  0.0000 x2  12 Ac 3.88

Formation energy (no corrections), eV/f.u.: -7.880
N(E_F), states/eV/atom: 0.606



(5)
## Ac6Si2Hg (PBE)

Data for a relaxed structure of Ac6Si2Hg.

Lattice parameters (Å, degrees): 12.7415 6.2457 10.1658 90.00 126.89 90.00
Closest atoms and distances in Å follow each position.
Space group C2/m (No. 12)
One atom of each set of equivalent atoms:
Ac  0.0826  0.0000  0.3806 x4  3 Si 3.21-3.27, 1 Hg 3.34
Ac  0.1579  0.5000  0.0541 x4  2 Si 3.24, 1 Ac 3.48, 2 Hg 3.57
Ac  0.1578  0.5000  0.6844 x4  2 Si 3.25-3.27, 1 Ac 3.48, 1 Hg 3.54
Si  0.1016  0.5000  0.3252 x4  7 Ac 3.21-3.27
Hg  0.0000  0.0000  0.0000 x2  8 Ac 3.34-3.57

Formation energy (no corrections), eV/f.u.: -2.284
N(E_F), states/eV/atom: 1.180



(6)
## Ac5Si2Hg (PBE)

Data for a relaxed structure of Ac5Si2Hg.

Lattice parameters (Å, degrees): 8.2197 8.2197 15.9753 90.00 90.00 90.00
Closest atoms and distances in Å follow each position.
Space group I4/mcm (No. 140)
One atom of each set of equivalent atoms:
Ac  0.0000  0.0000  0.0000 x4  4 Si 3.32
Ac  0.1757  0.3243  0.1401 x16  3 Si 3.29-3.34, 2 Hg 3.50
Si  0.1110  0.3890  0.5000 x8  1 Si 2.58
Hg  0.0000  0.0000  0.2500 x4  8 Ac 3.50

Formation energy (no corrections), eV/f.u.: -3.432
N(E_F), states/eV/atom: 1.070



(7)
## AcSiHg2 (PBE)

Data for a relaxed structure of AcSiHg2.

Lattice parameters (Å, degrees): 4.6806 4.6806 16.9783 90.00 90.00 120.00
Closest atoms and distances in Å follow each position.
Space group R-3m (No. 166, hexagonal axes)
One atom of each set of equivalent atoms:
Ac  0.0000  0.0000  0.0000 x3  6 Hg 3.28
Si  0.0000  0.0000  0.5000 x3  6 Hg 2.87
Hg  0.0000  0.0000  0.2237 x6  3 Si 2.87

Formation energy (no corrections), eV/f.u.: -0.861
N(E_F), states/eV/atom: 0.570



(8)
## Ac8Si5Hg (PBE)

Data for a relaxed structure of Ac8Si5Hg.

Lattice parameters (Å, degrees): 9.7146 9.7146 9.7587 90.00 90.00 90.00
Closest atoms and distances in Å follow each position.
Space group I-4 (No. 82)
One atom of each set of equivalent atoms:
Ac  0.0687  0.1885  0.3144 x8  4 Si 3.16-3.53
Ac  0.0699  0.3258  0.9400 x8  5 Si 3.19-3.55, 1 Hg 3.29
Si  0.0000  0.5000  0.2500 x2  8 Ac 3.16-3.53
Si  0.1264  0.2506  0.6269 x8  6 Ac 3.16-3.53
Hg  0.0000  0.0000  0.0000 x2  8 Ac 3.29-3.63

Formation energy (no corrections), eV/f.u.: -6.712
N(E_F), states/eV/atom: 0.784



(9)
## Ac12Si5Hg (PBE)

Data for a relaxed structure of Ac12Si5Hg.

Lattice parameters (Å, degrees): 10.5913 10.6681 11.0636 90.00 90.00 90.00
Closest atoms and distances in Å follow each position.
Space group Immm (No. 71)
One atom of each set of equivalent atoms:
Ac  0.0000  0.1982  0.2359 x8  2 Si 3.25-3.36, 1 Hg 3.61
Ac  0.2038  0.5000  0.1782 x8  3 Si 3.19
Ac  0.2319  0.3246  0.5000 x8  4 Si 3.32-3.58
Si  0.0000  0.0000  0.0000 x2  8 Ac 3.36-3.40
Si  0.0000  0.3803  0.0000 x4  1 Si 2.55
Si  0.0000  0.5000  0.3908 x4  1 Si 2.42
Hg  0.0000  0.0000  0.5000 x2  8 Ac 3.61-3.70

Formation energy (no corrections), eV/f.u.: -6.588
N(E_F), states/eV/atom: 0.852



(10)
## Ac4Si3Hg (PBE)

Data for a relaxed structure of Ac4Si3Hg.

Lattice parameters (Å, degrees): 4.2783 4.7253 11.9249 90.00 90.00 90.00
Closest atoms and distances in Å follow each position.
Space group Pmm2 (No. 25)
One atom of each set of equivalent atoms:
Ac  0.0000  0.0000  0.0000 x1  5 Si 3.29-3.43, 2 Hg 3.50
Ac  0.0000  0.5000  0.4875 x1  6 Si 3.30-3.35, 1 Hg 3.53
Ac  0.5000  0.0000  0.7067 x1  4 Hg 3.32, 3 Si 3.48-3.58
Ac  0.5000  0.5000  0.2133 x1  7 Si 3.31-3.37
Si  0.0000  0.0000  0.2879 x1  2 Si 2.62
Si  0.5000  0.0000  0.4147 x1  2 Si 2.62
Si  0.5000  0.5000  0.9326 x1  2 Hg 2.78
Hg  0.0000  0.5000  0.7832 x1  2 Si 2.78

Formation energy (no corrections), eV/f.u.: -4.088
N(E_F), states/eV/atom: 0.853



(11)
## Ac2SiHg3 (PBE)

Data for a relaxed structure of Ac2SiHg3.

Lattice parameters (Å, degrees): 8.3110 9.7204 16.8778 90.00 90.00 90.00
Closest atoms and distances in Å follow each position.
Space group Fmmm (No. 69)
One atom of each set of equivalent atoms:
Ac  0.2408  0.0000  0.0000 x8  10 Hg 3.48-3.54, 2 Si 3.55
Ac  0.2500  0.2500  0.2500 x8  8 Hg 3.46-3.47, 4 Si 3.49
Si  0.0000  0.0000  0.3327 x8  3 Hg 2.70-2.72
Hg  0.0000  0.0000  0.1718 x8  1 Si 2.72, 2 Hg 2.92
Hg  0.0000  0.2389  0.4144 x16  1 Si 2.70, 2 Hg 2.89-2.92

Formation energy (no corrections), eV/f.u.: -2.615
N(E_F), states/eV/atom: 0.706



(12)
## Ac2Si2Hg (PBE)

Data for a relaxed structure of Ac2Si2Hg.

Lattice parameters (Å, degrees): 8.1376 8.1376 4.3272 90.00 90.00 90.00
Closest atoms and distances in Å follow each position.
Space group P4/mbm (No. 127)
One atom of each set of equivalent atoms:
Ac  0.1876  0.3124  0.0000 x4  6 Si 3.25-3.27
Si  0.1021  0.6021  0.5000 x4  1 Si 2.35
Hg  0.0000  0.0000  0.5000 x2  4 Si 3.34, 8 Ac 3.67

Formation energy (no corrections), eV/f.u.: -2.627
N(E_F), states/eV/atom: 0.685